[1]
DFT (PBE-GGA) results for a relaxed structure of Rb2CaMgI6.

Cell: 8.4476 8.4476 15.2638 Å, 73.94 73.94 60.00°
Sites, in units of the cell vectors:
Rb 0.6985 0.6985 0.9044
I 0.6252 0.1309 0.6188
Ca 0.4156 0.4156 0.7533
I 0.2851 0.7983 0.1182
I 0.2017 0.2017 0.8818
I 0.7983 0.2851 0.1182
I 0.2017 0.7149 0.8818
I 0.8691 0.3748 0.3812
Mg 0.0000 0.0000 0.0000
Ca 0.5844 0.5844 0.2467
I 0.3748 0.8691 0.3812
I 0.3748 0.3748 0.3812
I 0.1309 0.6252 0.6188
Rb 0.8732 0.8732 0.3805
Mg 0.5000 0.5000 0.5000
Rb 0.3015 0.3015 0.0956
Rb 0.1268 0.1268 0.6195
I 0.7983 0.7983 0.1182
I 0.7149 0.2017 0.8818
I 0.6252 0.6252 0.6188

Output
uncorrected formation energy	-13.63	eV per formula unit
space-group type	R-3m (166)
distance to the lowest polymorph of the same formula	0	meV per atom

=====

[2]
DFT (PBE-GGA) results for a relaxed structure of ZrReTc.

Cell: 4.3647 4.3647 4.3647 Å, 60.00 60.00 60.00°
Sites, in units of the cell vectors:
Re 0.5000 0.5000 0.5000
Tc 0.2500 0.2500 0.2500
Zr 0.0000 0.0000 0.0000

Output
space-group type	F-43m (216)
distance to the lowest polymorph of the same formula	707	meV per atom
ΔH_f (0 K)	0.40	eV per atom

=====

[3]
DFT (PBE-GGA) results for a relaxed structure of TaCu2SbIr.

Cell: 4.6166 4.8810 4.6166 Å, 90.00 90.00 90.00°
Sites, in units of the cell vectors:
Ir 0.0000 0.0000 0.0000
Ta 0.5000 0.5000 0.5000
Cu 0.5000 0.0000 0.0000
Cu 0.0000 0.0000 0.5000
Sb 0.0000 0.5000 0.0000

Output
uncorrected formation energy	6.11	eV per formula unit
space-group type	P4/mmm (123)

=====

[4]
DFT (PBE-GGA) results for a relaxed structure of Tb2NdPd.

Cell: 3.8063 6.5668 9.4244 Å, 90.00 90.00 106.85°
Sites, in units of the cell vectors:
Tb 0.6371 0.2733 0.4399
Tb 0.6371 0.2733 0.0601
Pd 0.2358 0.4709 0.2500
Nd 0.9373 0.8755 0.2500
Nd 0.0627 0.1245 0.7500
Pd 0.7642 0.5291 0.7500
Tb 0.3629 0.7267 0.5601
Tb 0.3629 0.7267 0.9399

Output
space-group type	P2_1/m (11)
distance to the lowest polymorph of the same formula	16	meV per atom
ΔH_f (0 K)	-0.43	eV per atom

=====

[5]
DFT (PBE-GGA) results for a relaxed structure of HPtAu2.

Cell: 4.7463 5.5462 4.7593 Å, 90.00 112.42 90.00°
Sites, in units of the cell vectors:
Au 0.7117 0.7500 0.5688
Au 0.9301 0.2500 0.7908
H 0.6958 0.2500 0.2047
Au 0.2883 0.2500 0.4312
H 0.3042 0.7500 0.7953
Pt 0.5000 0.5000 0.0000
Au 0.0699 0.7500 0.2092
Pt 0.5000 0.0000 0.0000

Output
space-group type	P2_1/m (11)
distance to the lowest polymorph of the same formula	0	meV per atom

=====

[6]
DFT (PBE-GGA) results for a relaxed structure of ThPd3Au.

Cell: 7.6833 5.8528 4.4162 Å, 90.00 90.00 90.01°
Sites, in units of the cell vectors:
Au 0.0304 0.2008 0.0761
Th 0.6528 0.2009 0.5681
Pd 0.9577 0.9321 0.5770
Pd 0.4578 0.9694 0.0702
Au 0.5304 0.7008 0.5711
Pd 0.4577 0.4321 0.0702
Th 0.1528 0.7009 0.0792
Pd 0.7794 0.7007 0.0750
Pd 0.9578 0.4694 0.5770
Pd 0.2794 0.2007 0.5722

Output
space-group type	Pmn2_1 (31)
distance to the lowest polymorph of the same formula	0	meV per atom
ΔH_f (0 K)	-0.59	eV per atom

=====

[7]
DFT (PBE-GGA) results for a relaxed structure of K2CaMg.

Cell: 6.8483 3.9220 6.8406 Å, 83.91 90.00 90.00°
Sites, in units of the cell vectors:
K 0.0000 0.4758 0.4893
Mg 0.5000 0.2500 0.2500
Ca 0.5000 0.7500 0.7500
K 0.0000 0.0242 0.0107

Output
space-group type	P2/m (10)
ΔH_f (0 K)	0.22	eV per atom

=====

[8]
DFT (PBE-GGA) results for a relaxed structure of Pr4Gd2N.

Cell: 5.0535 5.0535 9.5637 Å, 74.68 74.68 90.00°
Sites, in units of the cell vectors:
N 0.0000 0.0000 0.0000
Pr 0.5000 0.0000 0.0000
Gd 0.6637 0.6637 0.6725
Gd 0.3363 0.3363 0.3275
Pr 0.1376 0.1376 0.7248
Pr 0.8624 0.8624 0.2752
Pr 0.0000 0.5000 0.0000

Output
uncorrected formation energy	-1.22	eV per formula unit
space-group type	I4/mmm (139)